Material: LiMn2Au
Method: DFT, GGA-PBE
State: relaxed

a b c (Å): 5.944 5.944 5.944
angles (deg): 90.00 90.00 90.00
Space group Fm-3m (No. 225)
One atom of each set of equivalent atoms:
1 Li 0.000 0.000 0.000 x4
2 Mn 0.250 0.250 0.250 x8
3 Au 0.000 0.000 0.500 x4

Computed properties:
- Calculated density: 9.92 g cm⁻³
- Magnetic moment: 0.0 μB per cell
- Energy of formation from the pure elements: 69.1 kJ per mole of atoms
- D(E_F): 53.19 states/eV per cell
- Energy above the most stable polymorph in this dataset: 706 meV/atom
- Total DFT energy (no corrections): -5.166 eV per atom

---

Material: Li2MnAu
Method: DFT, GGA-PBE
State: relaxed

a b c (Å): 7.210 7.210 5.298
angles (deg): 90.00 90.00 90.00
Space group I-42d (No. 122)
One atom of each set of equivalent atoms:
1 Li 0.230 0.250 0.125 x8
2 Mn 0.000 0.000 0.500 x4
3 Au 0.000 0.000 0.000 x4

Computed properties:
- Calculated density: 6.41 g cm⁻³
- Magnetic moment: 16.9 μB per cell
- Energy of formation from the pure elements: 10.1 kJ per mole of atoms
- D(E_F): 8.04 states/eV per cell
- Total DFT energy (no corrections): -3.964 eV per atom

---

Material: LiMn2Au
Method: DFT, GGA-PBE
State: relaxed

a b c (Å): 3.276 3.276 5.908
angles (deg): 90.00 90.00 90.00
Space group P4/mmm (No. 123)
One atom of each set of equivalent atoms:
1 Li 0.000 0.000 0.000 x1
2 Mn 0.500 0.500 0.245 x2
3 Au 0.000 0.000 0.500 x1

Computed properties:
- Calculated density: 8.22 g cm⁻³
- Magnetic moment: 8.0 μB per cell
- Energy of formation from the pure elements: 19.2 kJ per mole of atoms
- D(E_F): 2.84 states/eV per cell
- Energy above the most stable polymorph in this dataset: 189 meV/atom
- Total DFT energy (no corrections): -5.684 eV per atom

---

Material: LiMnAu2
Method: DFT, GGA-PBE
State: relaxed

a b c (Å): 2.811 4.961 10.404
angles (deg): 90.00 90.00 90.00
Space group Immm (No. 71)
One atom of each set of equivalent atoms:
1 Li 0.000 0.000 0.000 x2
2 Mn 0.000 0.000 0.500 x2
3 Au 0.000 0.000 0.246 x4

Computed properties:
- Calculated density: 10.43 g cm⁻³
- Magnetic moment: 8.3 μB per cell
- Energy of formation from the pure elements: 24.5 kJ per mole of atoms
- D(E_F): 6.05 states/eV per cell
- Total DFT energy (no corrections): -4.156 eV per atom

---

Q: What is the D(E_F) in the second record?
A: 8.04 states/eV per cell

---

Q: Look up the energy of formation from the pure elements of the second one.
A: 10.1 kJ per mole of atoms